1) LaNiBr3 | the Alexandria database | PBE-GGA | optimized geometry; volume = 202.1 Å³/cell; ρ = 3.593 g cm⁻³
1.0
5.8684 0.0000 0.0000
0.0000 5.8684 0.0000
0.0000 0.0000 5.8684
Ni Br La
1 3 1
Cartesian
2.9342 2.9342 2.9342 Ni
0.0000 2.9342 0.0000 Br
0.0000 0.0000 2.9342 Br
2.9342 0.0000 0.0000 Br
0.0000 0.0000 0.0000 La

---

2) LaNiBr3 | the Alexandria database | PBE-GGA | optimized geometry; volume = 119.9 Å³/cell; ρ = 6.058 g cm⁻³
1.0
-2.3647 0.6148 4.2827
-4.2943 0.2618 -2.4087
-0.5277 -4.8852 0.4098
Ni Br La
1 3 1
Cartesian
0.0000 0.0000 0.0000 Ni
-2.1471 0.1309 -1.2044 Br
-0.2639 -2.4426 0.2049 Br
-1.1824 0.3074 2.1413 Br
-3.5934 -2.0043 1.1419 La

---

Which is the most stable structure? 2) is the most stable.